First-principles (PBE-GGA) data for an optimized crystal structure of LiSbOsI2, as listed in Alexandria via LeMat-Bulk.

Summary:
Symmetry ... P4/mmm
Formation energy from raw total energies ... 178 kJ/mol of formula units
Magnetization ... 0.000 μB per atom

Cell lengths 5.740, 5.740, 4.981 Å; angles 90.00, 90.00, 90.00 degrees
Fractional coordinates of all 5 atoms:
Li 0.000 0.000 0.000
Sb 0.500 0.500 0.000
Os 0.500 0.500 0.500
I 0.000 0.500 0.500
I 0.500 0.000 0.500